# PBE Y2Ho3UN6, optimized geometry
# Magnetic moment: 0.8 μB per formula unit
# DFT total energy: -216.3 eV per cell
# Crystal system: monoclinic
# E_form (uncorrected): -1.689 eV per atom
data_Y2Ho3UN6
_cell_length_a 5.9756
_cell_length_b 10.3470
_cell_length_c 5.9687
_cell_angle_alpha 90.00
_cell_angle_beta 109.47
_cell_angle_gamma 90.00
_symmetry_space_group_name_H-M 'C 1 2/m 1'
_symmetry_Int_Tables_number 12
loop_
_symmetry_equiv_pos_as_xyz
'x,y,z'
'-x,-y,-z'
'-x,y,-z'
'x,-y,z'
'x+1/2,y+1/2,z'
'-x+1/2,-y+1/2,-z'
'-x+1/2,y+1/2,-z'
'x+1/2,-y+1/2,z'
loop_
_atom_site_label
_atom_site_fract_x
_atom_site_fract_y
_atom_site_fract_z
Y1 0.0000 0.1664 0.0000
Ho1 0.0000 0.0000 0.5000
Ho2 0.0000 0.3323 0.5000
U1 0.0000 0.5000 0.0000
N1 0.2339 0.5000 0.7597
N2 0.2389 0.3425 0.2437